Mn3VCr2P6O24: relaxed, PBE+U.

abc: 8.4438 8.4438 8.4438
angles: 61.89 61.89 61.89
Fractional coordinates of all 36 atoms:
O (0.5255, 0.3176, 0.0965)
O (0.8324, 0.9902, 0.6091)
O (0.6091, 0.8324, 0.9902)
O (0.1823, 0.9856, 0.3963)
O (0.3176, 0.0965, 0.5255)
O (0.0891, 0.9268, 0.7557)
O (0.7557, 0.0891, 0.9268)
O (0.2479, 0.4486, 0.6022)
O (0.4883, 0.6777, 0.8970)
O (0.6777, 0.8970, 0.4883)
O (0.3963, 0.1823, 0.9856)
O (0.8970, 0.4883, 0.6777)
O (0.7425, 0.5711, 0.4014)
O (0.5711, 0.4014, 0.7425)
O (0.9856, 0.3963, 0.1823)
O (0.2490, 0.9051, 0.0634)
O (0.4014, 0.7425, 0.5711)
O (0.9902, 0.6091, 0.8324)
O (0.9268, 0.7557, 0.0891)
O (0.0965, 0.5255, 0.3176)
O (0.0634, 0.2490, 0.9051)
O (0.9051, 0.0634, 0.2490)
O (0.4486, 0.6022, 0.2479)
O (0.6022, 0.2479, 0.4486)
P (0.9468, 0.5523, 0.2505)
P (0.7511, 0.0481, 0.4512)
P (0.0481, 0.4512, 0.7511)
P (0.5523, 0.2505, 0.9468)
P (0.4512, 0.7511, 0.0481)
P (0.2505, 0.9468, 0.5523)
Cr (0.5008, 0.5008, 0.5008)
Cr (0.9993, 0.9993, 0.9993)
Mn (0.6455, 0.6455, 0.6455)
Mn (0.3530, 0.3530, 0.3530)
Mn (0.1466, 0.1466, 0.1466)
V (0.8537, 0.8537, 0.8537)

**E_tot**: -268.488 eV/f.u.
**Symmetry**: R3